This record from the Alexandria database describes a relaxed structure of NdYCu. The functional is GGA-PBE.

Cell and atoms, written as POSCAR:
```
NdYCu
1.0
4.834 0.000 0.000
-2.417 4.186 0.000
0.000 0.000 3.889
Nd Y Cu
1 1 1
direct
0.000 0.000 0.000
0.667 0.333 0.467
0.333 0.667 0.679
```

Computed properties:
magnetization = 0.000 μB per atom
total energy = -5.0390 eV/atom